Below is a relaxed Ac4PmSn2 crystal, with properties calculated at the PBE level.

Geometry as CIF:
```
data_Ac4PmSn2
_cell_length_a 10.4141
_cell_length_b 10.4141
_cell_length_c 10.4141
_cell_angle_alpha 32.51
_cell_angle_beta 32.51
_cell_angle_gamma 32.51
_space_group_name_H-M_alt 'P 1'
_space_group_IT_number 1
loop_
_space_group_symop_operation_xyz
'x,y,z'
loop_
_atom_site_label
_atom_site_fract_x
_atom_site_fract_y
_atom_site_fract_z
Ac1 0.1254 0.1254 0.1254
Ac2 0.2810 0.2810 0.2810
Ac3 0.7190 0.7190 0.7190
Ac4 0.8746 0.8746 0.8746
Pm1 0.5000 0.5000 0.5000
Sn1 0.3950 0.3950 0.3950
Sn2 0.6050 0.6050 0.6050
```

***

Below is a relaxed K17Na11Cd crystal, with properties calculated at the PBE level.

Geometry as CIF:
```
data_K17Na11Cd
_cell_length_a 12.5609
_cell_length_b 12.5609
_cell_length_c 12.5605
_cell_angle_alpha 108.16
_cell_angle_beta 108.16
_cell_angle_gamma 108.25
_space_group_name_H-M_alt 'P 1'
_space_group_IT_number 1
loop_
_space_group_symop_operation_xyz
'x,y,z'
loop_
_atom_site_label
_atom_site_fract_x
_atom_site_fract_y
_atom_site_fract_z
K1 0.0000 0.0000 0.0000
K2 0.0032 0.0032 0.4025
K3 0.0240 0.2947 0.3024
K4 0.1078 0.6959 0.3650
K5 0.1159 0.3649 0.6925
K6 0.2923 0.2923 0.0060
K7 0.2947 0.0240 0.3024
K8 0.3374 0.6844 0.6895
K9 0.3624 0.6959 0.1113
K10 0.3649 0.1159 0.6925
K11 0.3934 0.9918 0.9928
K12 0.6786 0.6786 0.6828
K13 0.6844 0.3374 0.6895
K14 0.6948 0.6948 0.3365
K15 0.6959 0.1078 0.3650
K16 0.6959 0.3624 0.1113
K17 0.9918 0.3934 0.9928
Na1 0.0448 0.6784 0.8646
Na2 0.0468 0.8651 0.6802
Na3 0.3496 0.5229 0.3585
Na4 0.5080 0.5080 0.8685
Na5 0.5141 0.8867 0.5145
Na6 0.5229 0.3496 0.3585
Na7 0.6784 0.0448 0.8646
Na8 0.6808 0.8630 0.0506
Na9 0.8630 0.6808 0.0506
Na10 0.8651 0.0468 0.6802
Na11 0.8867 0.5141 0.5145
Cd1 0.3540 0.3540 0.5378
```

***

Number 1: volume 41.4 A^3/atom, uncorrected energy -31.01 eV/f.u., energy of formation from the pure elements -0.2606 eV/atom. Number 2: volume 55.0 A^3/atom, uncorrected energy -33.62 eV/f.u., energy of formation from the pure elements 0.0160 eV/atom.